# 1
Entry from Alexandria via LeMat-Bulk: crystalline BaCd2Ir at its relaxed geometry (PBEsol).

Results
E_tot   -13.86 eV for the cell shown
M_tot   0.000 μB/atom
D(E_F)   0.674 states/eV/atom
ΔE_f   49 kJ/mol of formula units

Lattice parameters (Å, degrees): 3.3296 3.3296 8.2298 90.00 90.00 90.00
Last column: nearest neighbours and their distance in Å.
Space group P4/mmm (No. 123)
Inequivalent atoms, fractional coordinates:
Ba  0.0000  0.0000  0.0000 x1  4 Ba 3.33, 8 Cd 3.51
Cd  0.5000  0.5000  0.3160 x2  4 Ir 2.80, 1 Cd 3.03
Ir  0.0000  0.0000  0.5000 x1  8 Cd 2.80

=====

# 2
Entry from Alexandria via LeMat-Bulk: crystalline Ba3CdIr2O9 at its relaxed geometry (PBEsol).

Results
E_tot   -398.68 eV for the cell shown
M_tot   0.000 μB/atom
D(E_F)   0.592 states/eV/atom

Lattice parameters (Å, degrees): 5.8856 10.1183 14.5915 90.00 92.17 90.00
Last column: nearest neighbours and their distance in Å.
Space group C2/c (No. 15)
Inequivalent atoms, fractional coordinates:
Ba  0.0000  0.0073  0.2500 x4  10 O 2.70-2.96
Ba  0.0073  0.3316  0.5847 x8  9 O 2.73-3.03
Cd  0.0000  0.0000  0.0000 x4  6 O 2.22-2.24
Ir  0.0167  0.3360  0.1635 x8  6 O 1.93-2.03
O  0.0000  0.4922  0.2500 x4  2 Ir 2.03
O  0.0368  0.1786  0.0888 x8  1 Ir 1.94
O  0.1959  0.4120  0.4258 x8  1 Ir 1.93
O  0.2306  0.0873  0.8996 x8  1 Ir 1.94
O  0.2329  0.2600  0.2616 x8  2 Ir 2.02-2.03

=====

# 3
Entry from Alexandria via LeMat-Bulk: crystalline KBaCd3 at its relaxed geometry (PBEsol).

Results
E_tot   -4.76 eV for the cell shown
M_tot   0.000 μB/atom
D(E_F)   0.934 states/eV/atom
ΔE_f   203 kJ/mol of formula units

Lattice parameters (Å, degrees): 6.3447 6.3447 6.3447 90.00 90.00 90.00
Last column: nearest neighbours and their distance in Å.
Space group Pm-3m (No. 221)
Inequivalent atoms, fractional coordinates:
K  0.0000  0.0000  0.0000 x1  12 Cd 4.49
Ba  0.5000  0.5000  0.5000 x1  6 Cd 3.17
Cd  0.0000  0.5000  0.5000 x3  2 Ba 3.17

=====

# 4
Entry from Alexandria via LeMat-Bulk: crystalline KBaCd2 at its relaxed geometry (PBEsol).

Results
E_tot   -12.25 eV for the cell shown
M_tot   0.000 μB/atom
D(E_F)   0.868 states/eV/atom
ΔE_f   -43 kJ/mol of formula units
Relative energy among the computed polymorphs   0.0 meV per atom

Lattice parameters (Å, degrees): 5.0203 4.8337 12.5929 90.00 90.00 90.00
Last column: nearest neighbours and their distance in Å.
Space group Amm2 (No. 38)
Inequivalent atoms, fractional coordinates:
K  0.0000  0.0000  0.0000 x2  7 Cd 3.56-3.69
Ba  0.5000  0.0000  0.2945 x2  7 Cd 3.54-3.71
Cd  0.0000  0.0000  0.7072 x2  2 Cd 2.92
Cd  0.5000  0.0000  0.5895 x2  2 Cd 2.92

=====

Please write out number 1 again, unchanged.
Entry from Alexandria via LeMat-Bulk: crystalline BaCd2Ir at its relaxed geometry (PBEsol).

Results
E_tot   -13.86 eV for the cell shown
M_tot   0.000 μB/atom
D(E_F)   0.674 states/eV/atom
ΔE_f   49 kJ/mol of formula units

Lattice parameters (Å, degrees): 3.3296 3.3296 8.2298 90.00 90.00 90.00
Last column: nearest neighbours and their distance in Å.
Space group P4/mmm (No. 123)
Inequivalent atoms, fractional coordinates:
Ba  0.0000  0.0000  0.0000 x1  4 Ba 3.33, 8 Cd 3.51
Cd  0.5000  0.5000  0.3160 x2  4 Ir 2.80, 1 Cd 3.03
Ir  0.0000  0.0000  0.5000 x1  8 Cd 2.80

=====

Look up the E_tot of the first one.
-13.86 eV for the cell shown